Below is a relaxed structure of InReP2, with properties calculated at the GGA-PBE level.

a = 4.018 Å, b = 4.018 Å, c = 6.849 Å
α = 91.69°, β = 91.69°, γ = 45.07°
Sites, in units of the cell vectors:
Re (0.750, 0.750, 0.750)
P (0.450, 0.450, 0.591)
P (0.050, 0.050, 0.909)
In (0.250, 0.250, 0.250)

The energy of formation from the pure elements comes out at 0.147 eV/atom. The value obtained for the raw total energy is -25.42 eV per cell.


Below is a relaxed structure of InRe2P, with properties calculated at the GGA-PBE level.

a = 4.470 Å, b = 4.470 Å, c = 5.351 Å
α = 74.79°, β = 74.79°, γ = 39.48°
Sites, in units of the cell vectors:
Re (0.528, 0.528, 0.440)
Re (0.972, 0.972, 0.060)
In (0.750, 0.750, 0.750)
P (0.250, 0.250, 0.250)

As for the polymorph energy (0 for the lowest one): 0.1996 eV per atom. The energy of formation from the pure elements comes out at 0.344 eV/atom. The value obtained for the raw total energy is -31.67 eV per cell.


Below is a relaxed structure of InRe2P, with properties calculated at the GGA-PBE level.

a = 2.998 Å, b = 2.998 Å, c = 6.899 Å
α = 90.00°, β = 90.00°, γ = 90.00°
Sites, in units of the cell vectors:
In (0.500, 0.500, 0.250)
Re (0.000, 0.000, 0.555)
Re (0.000, 0.000, 0.945)
P (0.500, 0.500, 0.750)

As for the polymorph energy (0 for the lowest one): 0.0985 eV per atom. The energy of formation from the pure elements comes out at 0.243 eV/atom. The value obtained for the raw total energy is -32.07 eV per cell.


Below is a relaxed structure of InReP2, with properties calculated at the GGA-PBE level.

a = 4.399 Å, b = 4.399 Å, c = 6.267 Å
α = 73.24°, β = 73.24°, γ = 41.06°
Sites, in units of the cell vectors:
P (0.972, 0.972, 0.969)
P (0.827, 0.827, 0.631)
Re (0.534, 0.534, 0.662)
In (0.166, 0.166, 0.238)

The energy of formation from the pure elements comes out at -0.058 eV/atom. The value obtained for the raw total energy is -26.24 eV per cell.


Number 1: calculated density 7.70 g/cm³. Number 2: calculated density 13.18 g/cm³. Number 3: calculated density 13.88 g/cm³. Number 4: calculated density 7.95 g/cm³.